Entry 1:
SrZrSb2: single point on PBEsol structure, meta-GGA SCAN.

Computed properties:
* symmetry: No. 166
* final energy: -32.78 eV/atom
* ΔE to the lowest computed polymorph: 0.0 meV per atom
* total moment: 0.00 μB per cell
* energy relative to the elements, uncorrected: -0.9076 eV per atom

a b c (Å): 7.9261 7.9261 7.9261
angles (deg): 30.87 30.87 30.87
Closest atoms and distances in Å follow each position.
Fractional coordinates of all 4 atoms:
Sr: 0.0000 0.0000 0.0000  6 Sb 3.25
Zr: 0.5000 0.5000 0.5000  6 Sb 2.93
Sb: 0.2386 0.2386 0.2386  3 Zr 2.93, 3 Sr 3.25
Sb: 0.7614 0.7614 0.7614  3 Zr 2.93, 3 Sr 3.25


Entry 2:
TaSb2: single point on PBEsol structure, meta-GGA SCAN.

Computed properties:
* symmetry: No. 164
* final energy: -46.89 eV/atom
* total moment: 0.00 μB per cell
* energy relative to the elements, uncorrected: 0.1414 eV per atom

a b c (Å): 3.2511 3.2511 7.9402
angles (deg): 90.00 90.00 120.00
Closest atoms and distances in Å follow each position.
Fractional coordinates of all 3 atoms:
Ta: 0.0000 0.0000 0.0000  6 Sb 2.88
Sb: 0.3333 0.6667 0.7257  3 Ta 2.88
Sb: 0.6667 0.3333 0.2743  3 Ta 2.88


Entry 3:
Ta3Sb: single point on PBEsol structure, meta-GGA SCAN.

Computed properties:
* symmetry: No. 123
* final energy: -59.32 eV/atom
* ΔE to the lowest computed polymorph: 108.3 meV per atom
* total moment: 0.00 μB per cell
* energy relative to the elements, uncorrected: -0.0688 eV per atom

a b c (Å): 3.5099 3.5099 5.9627
angles (deg): 90.00 90.00 90.00
Closest atoms and distances in Å follow each position.
Fractional coordinates of all 4 atoms:
Ta: 0.0000 0.0000 0.0000  8 Ta 2.87, 2 Sb 2.98
Ta: 0.5000 0.5000 0.2427  6 Ta 2.87-3.07, 4 Sb 2.92
Ta: 0.5000 0.5000 0.7573  6 Ta 2.87-3.07, 4 Sb 2.92
Sb: 0.0000 0.0000 0.5000  10 Ta 2.92-2.98


Entry 4:
TaSb: single point on PBEsol structure, meta-GGA SCAN.

Computed properties:
* symmetry: No. 129
* final energy: -52.02 eV/atom
* total moment: 0.00 μB per cell
* energy relative to the elements, uncorrected: -0.1004 eV per atom

a b c (Å): 3.5284 3.5284 6.4599
angles (deg): 90.00 90.00 90.00
Closest atoms and distances in Å follow each position.
Fractional coordinates of all 4 atoms:
Ta: 0.2500 0.2500 0.1273  5 Sb 2.82-2.97, 4 Ta 2.99
Ta: 0.7500 0.7500 0.8727  5 Sb 2.82-2.97, 4 Ta 2.99
Sb: 0.2500 0.2500 0.6676  5 Ta 2.82-2.97
Sb: 0.7500 0.7500 0.3324  5 Ta 2.82-2.97


Entry 5:
Ta3Sb: single point on PBEsol structure, meta-GGA SCAN.

Computed properties:
* symmetry: No. 223
* final energy: -59.43 eV/atom
* ΔE to the lowest computed polymorph: 0.0 meV per atom
* total moment: 0.00 μB per cell
* energy relative to the elements, uncorrected: -0.1771 eV per atom

a b c (Å): 5.2376 5.2376 5.2376
angles (deg): 90.00 90.00 90.00
Closest atoms and distances in Å follow each position.
Fractional coordinates of all 8 atoms:
Ta: 0.0000 0.2500 0.5000  2 Ta 2.62, 4 Sb 2.93
Ta: 0.0000 0.7500 0.5000  2 Ta 2.62, 4 Sb 2.93
Ta: 0.2500 0.5000 0.0000  2 Ta 2.62, 4 Sb 2.93
Ta: 0.5000 0.0000 0.2500  2 Ta 2.62, 4 Sb 2.93
Ta: 0.5000 0.0000 0.7500  2 Ta 2.62, 4 Sb 2.93
Ta: 0.7500 0.5000 0.0000  2 Ta 2.62, 4 Sb 2.93
Sb: 0.0000 0.0000 0.0000  12 Ta 2.93
Sb: 0.5000 0.5000 0.5000  12 Ta 2.93


Entry 6:
TaSb: single point on PBEsol structure, meta-GGA SCAN.

Computed properties:
* symmetry: No. 129
* final energy: -51.78 eV/atom
* total moment: 0.00 μB per cell
* energy relative to the elements, uncorrected: 0.1387 eV per atom

a b c (Å): 2.9695 2.9695 10.0168
angles (deg): 90.00 90.00 90.00
Closest atoms and distances in Å follow each position.
Fractional coordinates of all 4 atoms:
Ta: 0.2500 0.2500 0.1106  8 Ta 2.97-3.05, 4 Sb 3.03
Ta: 0.7500 0.7500 0.8894  8 Ta 2.97-3.05, 4 Sb 3.03
Sb: 0.2500 0.2500 0.6715  4 Sb 2.97, 4 Ta 3.03
Sb: 0.7500 0.7500 0.3285  4 Sb 2.97, 4 Ta 3.03


Entry 7:
TaSb3: single point on PBEsol structure, meta-GGA SCAN.

Computed properties:
* symmetry: No. 65
* final energy: -44.35 eV/atom
* ΔE to the lowest computed polymorph: 0.0 meV per atom
* total moment: 0.00 μB per cell
* energy relative to the elements, uncorrected: 0.2378 eV per atom

a b c (Å): 3.0978 3.0978 10.2215
angles (deg): 90.00 90.00 104.04
Closest atoms and distances in Å follow each position.
Fractional coordinates of all 4 atoms:
Ta: 0.0000 0.0000 0.0000  4 Sb 2.86, 4 Ta 3.10
Sb: 0.0000 0.0000 0.5000  4 Sb 3.10
Sb: 0.5000 0.5000 0.2080  2 Ta 2.86, 4 Sb 3.10
Sb: 0.5000 0.5000 0.7920  2 Ta 2.86, 4 Sb 3.10


Entry 8:
Ta3Sb: single point on PBEsol structure, meta-GGA SCAN.

Computed properties:
* symmetry: No. 71
* final energy: -59.33 eV/atom
* ΔE to the lowest computed polymorph: 101.9 meV per atom
* total moment: 0.00 μB per cell
* energy relative to the elements, uncorrected: -0.0752 eV per atom

a b c (Å): 5.3714 5.3714 5.3714
angles (deg): 141.72 129.69 64.93
Closest atoms and distances in Å follow each position.
Fractional coordinates of all 4 atoms:
Ta: 0.0000 0.0000 0.0000  4 Ta 2.80, 4 Sb 2.88
Ta: 0.2400 0.7400 0.5000  6 Ta 2.80-2.89, 2 Sb 2.94
Ta: 0.7600 0.2600 0.5000  6 Ta 2.80-2.89, 2 Sb 2.94
Sb: 0.5000 0.5000 0.0000  12 Ta 2.88-3.15


Entry 9:
Ta4Sb: single point on PBEsol structure, meta-GGA SCAN.

Computed properties:
* symmetry: No. 87
* final energy: -60.77 eV/atom
* total moment: 0.00 μB per cell
* energy relative to the elements, uncorrected: -0.0495 eV per atom

a b c (Å): 5.4174 5.4174 5.4174
angles (deg): 95.85 95.85 142.78
Closest atoms and distances in Å follow each position.
Fractional coordinates of all 5 atoms:
Ta: 0.1025 0.6909 0.7934  7 Ta 2.82-3.15, 2 Sb 2.93
Ta: 0.3091 0.1025 0.4116  7 Ta 2.82-3.15, 2 Sb 2.93
Ta: 0.6909 0.8975 0.5884  7 Ta 2.82-3.15, 2 Sb 2.93
Ta: 0.8975 0.3091 0.2066  7 Ta 2.82-3.15, 2 Sb 2.93
Sb: 0.5000 0.5000 0.0000  12 Ta 2.93-3.20


Entry 10:
TaSb2: single point on PBEsol structure, meta-GGA SCAN.

Computed properties:
* symmetry: No. 140
* final energy: -47.09 eV/atom
* total moment: 0.00 μB per cell
* energy relative to the elements, uncorrected: -0.0568 eV per atom

a b c (Å): 5.5418 5.5418 5.5418
angles (deg): 105.70 105.70 117.32
Closest atoms and distances in Å follow each position.
Fractional coordinates of all 6 atoms:
Ta: 0.2500 0.2500 0.0000  2 Ta 2.88, 8 Sb 2.92
Ta: 0.7500 0.7500 0.0000  2 Ta 2.88, 8 Sb 2.92
Sb: 0.1523 0.6523 0.8047  1 Sb 2.88, 4 Ta 2.92
Sb: 0.3477 0.1523 0.5000  1 Sb 2.88, 4 Ta 2.92
Sb: 0.6523 0.8477 0.5000  1 Sb 2.88, 4 Ta 2.92
Sb: 0.8477 0.3477 0.1953  1 Sb 2.88, 4 Ta 2.92


Entry 11:
TaSb2: single point on PBEsol structure, meta-GGA SCAN.

Computed properties:
* symmetry: No. 12
* final energy: -47.17 eV/atom
* total moment: 0.00 μB per cell
* energy relative to the elements, uncorrected: -0.1375 eV per atom

a b c (Å): 5.4283 5.4283 8.2797
angles (deg): 118.50 118.50 39.10
Closest atoms and distances in Å follow each position.
Fractional coordinates of all 6 atoms:
Ta: 0.1506 0.1506 0.1882  8 Sb 2.83-2.96, 1 Ta 3.08
Ta: 0.8494 0.8494 0.8118  8 Sb 2.83-2.96, 1 Ta 3.08
Sb: 0.1480 0.1480 0.5346  3 Sb 2.78-3.03, 3 Ta 2.83-2.88
Sb: 0.4052 0.4052 0.1139  5 Ta 2.90-2.96
Sb: 0.5948 0.5948 0.8861  5 Ta 2.90-2.96
Sb: 0.8520 0.8520 0.4654  3 Sb 2.78-3.03, 3 Ta 2.83-2.88


Entry 12:
Ta3Sb: single point on PBEsol structure, meta-GGA SCAN.

Computed properties:
* symmetry: No. 65
* final energy: -59.18 eV/atom
* ΔE to the lowest computed polymorph: 250.2 meV per atom
* total moment: 0.00 μB per cell
* energy relative to the elements, uncorrected: 0.0731 eV per atom

a b c (Å): 2.9984 2.9984 8.8044
angles (deg): 90.00 90.00 109.37
Closest atoms and distances in Å follow each position.
Fractional coordinates of all 4 atoms:
Ta: 0.0000 0.0000 0.0000  8 Ta 2.78-3.00
Ta: 0.5000 0.5000 0.2470  6 Ta 2.78-3.00, 2 Sb 2.82
Ta: 0.5000 0.5000 0.7530  6 Ta 2.78-3.00, 2 Sb 2.82
Sb: 0.0000 0.0000 0.5000  4 Ta 2.82, 4 Sb 3.00


Entry 13:
TaSb3: single point on PBEsol structure, meta-GGA SCAN.

Computed properties:
* symmetry: No. 166
* final energy: -43.97 eV/atom
* ΔE to the lowest computed polymorph: 387.2 meV per atom
* total moment: 0.00 μB per cell
* energy relative to the elements, uncorrected: 0.6250 eV per atom

a b c (Å): 5.8548 5.8548 5.8548
angles (deg): 116.84 116.84 116.84
Closest atoms and distances in Å follow each position.
Fractional coordinates of all 4 atoms:
Ta: 0.0000 0.0000 0.0000  6 Sb 3.07, 2 Ta 3.16
Sb: 0.0000 0.5000 0.5000  6 Sb 3.07-3.16, 2 Ta 3.07
Sb: 0.5000 0.0000 0.5000  2 Ta 3.07, 6 Sb 3.07-3.16
Sb: 0.5000 0.5000 0.0000  6 Sb 3.07-3.16, 2 Ta 3.07


Entry 14:
TaTcSb: single point on PBEsol structure, meta-GGA SCAN.

Computed properties:
* symmetry: No. 107
* final energy: -46.22 eV/atom
* total moment: 0.00 μB per cell
* energy relative to the elements, uncorrected: 0.0848 eV per atom

a b c (Å): 5.5501 5.5501 5.5501
angles (deg): 146.70 146.70 47.80
Closest atoms and distances in Å follow each position.
Fractional coordinates of all 3 atoms:
Ta: 0.0000 0.0000 0.0000  4 Tc 2.77, 4 Sb 2.94
Tc: 0.3411 0.3411 0.0000  4 Sb 2.74, 4 Ta 2.77
Sb: 0.6870 0.6870 0.0000  4 Tc 2.74, 4 Ta 2.94


Entry 15:
TaTcSb3: single point on PBEsol structure, meta-GGA SCAN.

Computed properties:
* symmetry: No. 221
* final energy: -41.49 eV/atom
* total moment: 4.41 μB per cell
* energy relative to the elements, uncorrected: 1.1949 eV per atom

a b c (Å): 5.2469 5.2469 5.2469
angles (deg): 90.00 90.00 90.00
Closest atoms and distances in Å follow each position.
Fractional coordinates of all 5 atoms:
Ta: 0.0000 0.0000 0.0000  6 Sb 2.62
Tc: 0.5000 0.5000 0.5000  12 Sb 3.71
Sb: 0.0000 0.0000 0.5000  2 Ta 2.62
Sb: 0.0000 0.5000 0.0000  2 Ta 2.62
Sb: 0.5000 0.0000 0.0000  2 Ta 2.62


Entry 16:
TaTc3Sb: single point on PBEsol structure, meta-GGA SCAN.

Computed properties:
* symmetry: No. 221
* final energy: -40.19 eV/atom
* total moment: 2.72 μB per cell
* energy relative to the elements, uncorrected: 1.6110 eV per atom

a b c (Å): 4.6990 4.6990 4.6990
angles (deg): 90.00 90.00 90.00
Closest atoms and distances in Å follow each position.
Fractional coordinates of all 5 atoms:
Ta: 0.0000 0.0000 0.0000  6 Tc 2.35
Tc: 0.0000 0.0000 0.5000  2 Ta 2.35
Tc: 0.0000 0.5000 0.0000  2 Ta 2.35
Tc: 0.5000 0.0000 0.0000  2 Ta 2.35
Sb: 0.5000 0.5000 0.5000  12 Tc 3.32


Entry 17:
TaSb2Te: single point on PBEsol structure, meta-GGA SCAN.

Computed properties:
* symmetry: No. 65
* final energy: -43.97 eV/atom
* total moment: 0.00 μB per cell
* energy relative to the elements, uncorrected: 0.6163 eV per atom

a b c (Å): 5.2328 5.2328 3.4400
angles (deg): 90.00 90.00 106.40
Closest atoms and distances in Å follow each position.
Fractional coordinates of all 4 atoms:
Ta: 0.0000 0.0000 0.0000  8 Sb 3.13, 2 Te 3.13, 2 Ta 3.44
Sb: 0.0000 0.5000 0.5000  4 Ta 3.13, 4 Te 3.13, 4 Sb 3.13-3.44
Sb: 0.5000 0.0000 0.5000  4 Ta 3.13, 4 Te 3.13, 4 Sb 3.13-3.44
Te: 0.5000 0.5000 0.0000  8 Sb 3.13, 2 Ta 3.13, 2 Te 3.44


Entry 18:
TaSb2Te: single point on PBEsol structure, meta-GGA SCAN.

Computed properties:
* symmetry: No. 44
* final energy: -44.35 eV/atom
* total moment: 0.00 μB per cell
* energy relative to the elements, uncorrected: 0.2376 eV per atom

a b c (Å): 7.1375 7.1375 7.1375
angles (deg): 151.80 143.04 47.13
Closest atoms and distances in Å follow each position.
Fractional coordinates of all 4 atoms:
Ta: 0.0000 0.0000 0.0000  2 Te 2.80, 6 Sb 2.87-2.99
Sb: 0.4736 0.4736 0.0000  4 Ta 2.87, 2 Sb 3.08
Sb: 0.8144 0.3144 0.5000  2 Ta 2.99, 2 Sb 3.08
Te: 0.1674 0.6674 0.5000  2 Ta 2.80


Entry 19:
TaSbTe: single point on PBEsol structure, meta-GGA SCAN.

Computed properties:
* symmetry: No. 216
* final energy: -46.71 eV/atom
* total moment: 1.05 μB per cell
* energy relative to the elements, uncorrected: 0.3260 eV per atom

a b c (Å): 4.7690 4.7690 4.7690
angles (deg): 60.00 60.00 60.00
Closest atoms and distances in Å follow each position.
Fractional coordinates of all 3 atoms:
Ta: 0.0000 0.0000 0.0000  4 Sb 2.92, 4 Te 2.92
Sb: 0.7500 0.7500 0.7500  4 Ta 2.92
Te: 0.2500 0.2500 0.2500  4 Ta 2.92


Entry 20:
Ta4SbTe: single point on PBEsol structure, meta-GGA SCAN.

Computed properties:
* symmetry: No. 216
* final energy: -56.38 eV/atom
* total moment: 0.00 μB per cell
* energy relative to the elements, uncorrected: 0.4292 eV per atom

a b c (Å): 5.5341 5.5341 5.5341
angles (deg): 60.00 60.00 60.00
Closest atoms and distances in Å follow each position.
Fractional coordinates of all 6 atoms:
Ta: 0.1244 0.1244 0.1244  6 Ta 2.75-2.78
Ta: 0.1244 0.1244 0.6267  6 Ta 2.75-2.78
Ta: 0.1244 0.6267 0.1244  6 Ta 2.75-2.78
Ta: 0.6267 0.1244 0.1244  6 Ta 2.75-2.78
Sb: 0.7500 0.7500 0.7500  12 Ta 3.24, 4 Te 3.39
Te: 0.5000 0.5000 0.5000  12 Ta 3.25, 4 Sb 3.39


no.,DOS(E_F) (states/eV per cell)
1,0.834
2,1.424
3,2.115
4,0.850
5,2.974
6,1.473
7,2.156
8,1.621
9,3.573
10,3.402
11,0.771
12,2.032
13,2.840
14,2.334
15,3.210
16,4.522
17,3.082
18,3.510
19,3.221
20,5.381